# 1
LaBN2: optimized geometry, PBE-GGA.

Summary:
Crystal system   trigonal
Electronic total energy   -33.5 eV/f.u.
Formation energy (no corrections)   -1.310 eV per atom

Cell and atoms, written as POSCAR:
```
LaBN2
1.0
1.971 1.138 5.016
-1.971 1.138 5.016
0.000 -2.276 5.016
La B N
1 1 2
Direct
0.000 0.000 0.000 La
0.500 0.500 0.500 B
0.411 0.411 0.411 N
0.589 0.589 0.589 N
```

# 2
CaAc2Gd: optimized geometry, PBE-GGA.

Summary:
Crystal system   trigonal
Formation energy   237 meV per atom
Electronic total energy   -23.4 eV/f.u.
Distance to the lowest polymorph of the same formula   199.9 meV per atom

Cell and atoms, written as POSCAR:
```
CaAc2Gd
1.0
1.882 1.087 13.588
-1.882 1.087 13.588
0.000 -2.173 13.588
Ca Ac Gd
1 2 1
Direct
0.000 0.000 0.000 Ca
0.415 0.415 0.415 Ac
0.585 0.585 0.585 Ac
0.500 0.500 0.500 Gd
```

# 3
AcLaAg2Te4: optimized geometry, PBE-GGA.

Summary:
Crystal system   orthorhombic
Electronic total energy   -34.4 eV/f.u.
Formation energy (no corrections)   -0.892 eV per atom

Cell and atoms, written as POSCAR:
```
AcLaAg2Te4
1.0
-3.876 3.947 4.302
3.876 -3.947 4.302
3.876 3.947 -4.302
Ac La Ag Te
1 1 2 4
Direct
0.000 0.000 0.000 Ac
0.500 0.500 0.000 La
0.335 0.835 0.500 Ag
0.665 0.165 0.500 Ag
0.055 0.046 0.518 Te
0.472 0.954 0.009 Te
0.528 0.537 0.482 Te
0.945 0.463 0.991 Te
```

# 4
Na2TlRh: optimized geometry, PBE-GGA.

Summary:
Crystal system   tetragonal
Formation energy   206 meV per atom
Electronic total energy   -11.5 eV/f.u.

Cell and atoms, written as POSCAR:
```
Na2TlRh
1.0
-2.005 2.005 10.835
2.005 -2.005 10.835
2.005 2.005 -10.835
Na Tl Rh
4 2 2
Direct
0.110 0.625 0.985 Na
0.375 0.360 0.485 Na
0.640 0.125 0.015 Na
0.875 0.890 0.515 Na
0.250 0.750 0.500 Tl
0.500 0.500 0.000 Tl
0.000 0.000 0.000 Rh
0.750 0.250 0.500 Rh
```

# 5
CaLa2HgAs: optimized geometry, PBE-GGA.

Summary:
Crystal system   tetragonal
Formation energy   -267 meV per atom
Electronic total energy   -18.1 eV/f.u.

Cell and atoms, written as POSCAR:
```
CaLa2HgAs
1.0
5.804 0.000 0.000
0.000 5.804 0.000
0.000 0.000 5.347
Ca La Hg As
1 2 1 1
Direct
0.000 0.000 0.000 Ca
0.000 0.500 0.500 La
0.500 0.000 0.500 La
0.500 0.500 0.000 Hg
0.500 0.500 0.500 As
```

# 6
HfZnS2: optimized geometry, PBE-GGA.

Summary:
Crystal system   trigonal
Electronic total energy   -21.0 eV/f.u.
Formation energy (no corrections)   -0.372 eV per atom

Cell and atoms, written as POSCAR:
```
HfZnS2
1.0
1.809 1.045 7.553
-1.809 1.045 7.553
0.000 -2.089 7.553
Hf Zn S
1 1 2
Direct
0.000 0.000 0.000 Hf
0.500 0.500 0.500 Zn
0.106 0.106 0.106 S
0.894 0.894 0.894 S
```

# 7
Pt2SCl: optimized geometry, PBE-GGA.

Summary:
Crystal system   cubic
Electronic total energy   -15.5 eV/f.u.
Distance to the lowest polymorph of the same formula   509.8 meV per atom
Formation energy (no corrections)   0.650 eV per atom

Cell and atoms, written as POSCAR:
```
Pt2SCl
1.0
0.000 3.176 3.176
3.176 0.000 3.176
3.176 3.176 0.000
Pt S Cl
2 1 1
Direct
0.250 0.250 0.250 Pt
0.750 0.750 0.750 Pt
0.000 0.000 0.000 S
0.500 0.500 0.500 Cl
```

# 8
CsTlCd4: optimized geometry, PBE-GGA.

Summary:
Crystal system   orthorhombic
Formation energy   -12 meV per atom
Electronic total energy   -7.0 eV/f.u.
Distance to the lowest polymorph of the same formula   0.0 meV per atom

Cell and atoms, written as POSCAR:
```
CsTlCd4
1.0
8.918 0.000 0.000
0.000 4.601 0.000
0.000 0.000 10.193
Cs Tl Cd
2 2 8
Direct
0.250 0.000 0.100 Cs
0.750 0.000 0.900 Cs
0.250 0.000 0.730 Tl
0.750 0.000 0.270 Tl
0.000 0.000 0.500 Cd
0.026 0.500 0.710 Cd
0.250 0.500 0.454 Cd
0.474 0.500 0.710 Cd
0.500 0.000 0.500 Cd
0.526 0.500 0.290 Cd
0.750 0.500 0.546 Cd
0.974 0.500 0.290 Cd
```

# 9
Ac8CdCo4: optimized geometry, PBE-GGA.

Summary:
Crystal system   monoclinic
Formation energy   -13 meV per atom
Electronic total energy   -62.4 eV/f.u.

Cell and atoms, written as POSCAR:
```
Ac8CdCo4
1.0
7.317 -4.290 0.000
7.317 4.290 0.000
-7.232 0.000 7.429
Ac Cd Co
8 1 4
Direct
0.174 0.696 0.668 Ac
0.183 0.183 0.152 Ac
0.304 0.826 0.332 Ac
0.311 0.311 0.834 Ac
0.689 0.689 0.166 Ac
0.696 0.174 0.668 Ac
0.817 0.817 0.848 Ac
0.826 0.304 0.332 Ac
0.500 0.500 0.500 Cd
0.253 0.747 0.000 Co
0.260 0.260 0.502 Co
0.740 0.740 0.498 Co
0.747 0.253 0.000 Co
```

# 10
SrIn6Pt3: optimized geometry, PBE-GGA.

Summary:
Crystal system   monoclinic
Formation energy   -512 meV per atom
Electronic total energy   -41.4 eV/f.u.

Cell and atoms, written as POSCAR:
```
SrIn6Pt3
1.0
10.104 0.000 0.000
0.000 4.483 0.000
-0.823 0.000 10.503
Sr In Pt
2 12 6
Direct
0.087 0.250 0.232 Sr
0.913 0.750 0.768 Sr
0.117 0.750 0.487 In
0.146 0.250 0.925 In
0.269 0.750 0.760 In
0.341 0.750 0.290 In
0.364 0.250 0.557 In
0.445 0.250 0.082 In
0.555 0.750 0.918 In
0.636 0.750 0.443 In
0.659 0.250 0.710 In
0.731 0.250 0.240 In
0.854 0.750 0.075 In
0.883 0.250 0.513 In
0.124 0.250 0.658 Pt
0.288 0.750 0.025 Pt
0.492 0.250 0.342 Pt
0.508 0.750 0.658 Pt
0.712 0.250 0.975 Pt
0.876 0.750 0.342 Pt
```

# 11
La2BrN: optimized geometry, PBE-GGA.

Summary:
Crystal system   cubic
Electronic total energy   -22.5 eV/f.u.
Formation energy (no corrections)   -0.652 eV per atom

Cell and atoms, written as POSCAR:
```
La2BrN
1.0
0.000 3.489 3.489
3.489 0.000 3.489
3.489 3.489 0.000
La Br N
2 1 1
Direct
0.250 0.250 0.250 La
0.750 0.750 0.750 La
0.000 0.000 0.000 Br
0.500 0.500 0.500 N
```

# 12
Cs3Pm3NpTe8: optimized geometry, PBE-GGA.

Summary:
Crystal system   trigonal
Electronic total energy   -73.6 eV/f.u.
Formation energy (no corrections)   -1.250 eV per atom

Cell and atoms, written as POSCAR:
```
Cs3Pm3NpTe8
1.0
4.570 2.638 9.123
-4.570 2.638 9.123
0.000 -5.277 9.123
Cs Pm Np Te
3 3 1 8
Direct
0.000 0.500 0.500 Cs
0.500 0.000 0.500 Cs
0.500 0.500 0.000 Cs
0.000 0.000 0.500 Pm
0.000 0.500 0.000 Pm
0.500 0.000 0.000 Pm
0.500 0.500 0.500 Np
0.231 0.231 0.231 Te
0.238 0.726 0.726 Te
0.274 0.274 0.762 Te
0.274 0.762 0.274 Te
0.726 0.238 0.726 Te
0.726 0.726 0.238 Te
0.762 0.274 0.274 Te
0.769 0.769 0.769 Te
```

# 13
Pm2PaAg: optimized geometry, PBE-GGA.

Summary:
Crystal system   tetragonal
Formation energy   5 meV per atom
Electronic total energy   -21.8 eV/f.u.
Distance to the lowest polymorph of the same formula   0.0 meV per atom

Cell and atoms, written as POSCAR:
```
Pm2PaAg
1.0
3.539 0.000 0.000
0.000 3.539 0.000
0.000 0.000 8.694
Pm Pa Ag
2 1 1
Direct
0.000 0.000 0.233 Pm
0.000 0.000 0.767 Pm
0.500 0.500 0.500 Pa
0.500 0.500 0.000 Ag
```

# 14
SrNiBr: optimized geometry, PBE-GGA.

Summary:
Crystal system   hexagonal
Electronic total energy   -10.3 eV/f.u.
Formation energy (no corrections)   -0.385 eV per atom

Cell and atoms, written as POSCAR:
```
SrNiBr
1.0
4.432 0.000 0.000
-2.216 3.838 0.000
0.000 0.000 4.129
Sr Ni Br
1 1 1
Direct
0.000 0.000 0.000 Sr
0.333 0.667 0.500 Ni
0.667 0.333 0.500 Br
```

# 15
Rb3Sn2Br7: optimized geometry, PBE-GGA.

Summary:
Crystal system   tetragonal
Electronic total energy   -37.8 eV/f.u.
Formation energy (no corrections)   -1.261 eV per atom

Cell and atoms, written as POSCAR:
```
Rb3Sn2Br7
1.0
-2.936 2.936 14.519
2.936 -2.936 14.519
2.936 2.936 -14.519
Rb Sn Br
3 2 7
Direct
0.000 0.000 0.000 Rb
0.180 0.180 0.000 Rb
0.820 0.820 0.000 Rb
0.397 0.397 0.000 Sn
0.603 0.603 0.000 Sn
0.100 0.600 0.500 Br
0.297 0.297 0.000 Br
0.400 0.900 0.500 Br
0.500 0.500 0.000 Br
0.600 0.100 0.500 Br
0.703 0.703 0.000 Br
0.900 0.400 0.500 Br
```

# 16
Re2AgH: optimized geometry, PBE-GGA.

Summary:
Crystal system   cubic
Electronic total energy   -24.8 eV/f.u.
Distance to the lowest polymorph of the same formula   503.2 meV per atom

Cell and atoms, written as POSCAR:
```
Re2AgH
1.0
0.000 3.005 3.005
3.005 0.000 3.005
3.005 3.005 0.000
Re Ag H
2 1 1
Direct
0.250 0.250 0.250 Re
0.750 0.750 0.750 Re
0.000 0.000 0.000 Ag
0.500 0.500 0.500 H
```

# 17
HfZr9Sn2: optimized geometry, PBE-GGA.

Summary:
Crystal system   tetragonal
Formation energy   -230 meV per atom
Electronic total energy   -97.6 eV/f.u.

Cell and atoms, written as POSCAR:
```
HfZr9Sn2
1.0
4.437 0.000 0.000
0.000 4.437 0.000
0.000 0.000 13.826
Hf Zr Sn
1 9 2
Direct
0.000 0.000 0.000 Hf
0.000 0.500 0.165 Zr
0.000 0.500 0.500 Zr
0.000 0.500 0.835 Zr
0.500 0.000 0.165 Zr
0.500 0.000 0.500 Zr
0.500 0.000 0.835 Zr
0.500 0.500 0.000 Zr
0.500 0.500 0.337 Zr
0.500 0.500 0.663 Zr
0.000 0.000 0.334 Sn
0.000 0.000 0.666 Sn
```

# 18
Ta4Tc3W: optimized geometry, PBE-GGA.

Summary:
Crystal system   tetragonal
Formation energy   -397 meV per atom
Electronic total energy   -94.6 eV/f.u.

Cell and atoms, written as POSCAR:
```
Ta4Tc3W
1.0
3.200 0.000 0.000
0.000 3.200 0.000
0.000 0.000 12.848
Ta Tc W
4 3 1
Direct
0.000 0.000 0.124 Ta
0.000 0.000 0.373 Ta
0.000 0.000 0.627 Ta
0.000 0.000 0.876 Ta
0.500 0.500 0.000 Tc
0.500 0.500 0.247 Tc
0.500 0.500 0.753 Tc
0.500 0.500 0.500 W
```

# 19
Dy3UAs4: optimized geometry, PBE-GGA.

Summary:
Crystal system   tetragonal
Formation energy   -1332 meV per atom
Electronic total energy   -54.3 eV/f.u.

Cell and atoms, written as POSCAR:
```
Dy3UAs4
1.0
-2.904 2.904 5.804
2.904 -2.904 5.804
2.904 2.904 -5.804
Dy U As
3 1 4
Direct
0.000 0.000 0.000 Dy
0.250 0.750 0.500 Dy
0.750 0.250 0.500 Dy
0.500 0.500 0.000 U
0.000 0.500 0.500 As
0.254 0.254 0.000 As
0.500 0.000 0.500 As
0.746 0.746 0.000 As
```

# 20
TaCr2Cd: optimized geometry, PBE-GGA.

Summary:
Crystal system   orthorhombic
Formation energy   334 meV per atom
Electronic total energy   -30.7 eV/f.u.

Cell and atoms, written as POSCAR:
```
TaCr2Cd
1.0
1.546 -2.272 0.000
1.546 2.272 0.000
0.000 0.000 8.893
Ta Cr Cd
1 2 1
Direct
0.000 0.000 0.000 Ta
0.000 0.000 0.433 Cr
0.500 0.500 0.242 Cr
0.500 0.500 0.702 Cd
```

# 21
PrSiHRh: optimized geometry, PBE-GGA.

Summary:
Crystal system   tetragonal
Electronic total energy   -24.5 eV/f.u.

Cell and atoms, written as POSCAR:
```
PrSiHRh
1.0
4.075 0.000 0.000
0.000 4.075 0.000
0.000 0.000 7.844
Pr Si H Rh
2 2 2 2
Direct
0.250 0.250 0.163 Pr
0.750 0.750 0.837 Pr
0.250 0.250 0.662 Si
0.750 0.750 0.338 Si
0.250 0.750 0.000 H
0.750 0.250 0.000 H
0.250 0.750 0.500 Rh
0.750 0.250 0.500 Rh
```

# 22
Tc2RuRh: optimized geometry, PBE-GGA.

Summary:
Crystal system   tetragonal
Formation energy   4 meV per atom
Electronic total energy   -37.3 eV/f.u.
Distance to the lowest polymorph of the same formula   136.7 meV per atom

Cell and atoms, written as POSCAR:
```
Tc2RuRh
1.0
2.715 0.000 0.000
0.000 2.715 0.000
0.000 0.000 7.786
Tc Ru Rh
2 1 1
Direct
0.000 0.000 0.000 Tc
0.500 0.500 0.265 Tc
0.500 0.500 0.766 Ru
0.000 0.000 0.507 Rh
```

# 23
YRe: optimized geometry, PBE-GGA.

Summary:
Crystal system   hexagonal
Formation energy   764 meV per atom
Electronic total energy   -17.4 eV/f.u.

Cell and atoms, written as POSCAR:
```
YRe
1.0
3.127 0.000 0.000
-1.563 2.708 0.000
0.000 0.000 4.784
Y Re
1 1
Direct
0.000 0.000 0.000 Y
0.667 0.333 0.500 Re
```

# 24
Cs2LiNbSe4: optimized geometry, PBE-GGA.

Summary:
Crystal system   orthorhombic
Electronic total energy   -36.8 eV/f.u.
Formation energy (no corrections)   -1.150 eV per atom

Cell and atoms, written as POSCAR:
```
Cs2LiNbSe4
1.0
0.000 7.373 13.030
3.095 0.000 13.030
3.095 7.373 0.000
Cs Li Nb Se
4 2 2 8
Direct
0.052 0.052 0.698 Cs
0.302 0.302 0.948 Cs
0.698 0.698 0.052 Cs
0.948 0.948 0.302 Cs
0.125 0.125 0.125 Li
0.875 0.875 0.875 Li
0.375 0.375 0.375 Nb
0.625 0.625 0.625 Nb
0.004 0.351 0.436 Se
0.291 0.564 0.649 Se
0.351 0.004 0.709 Se
0.436 0.709 0.004 Se
0.564 0.291 0.996 Se
0.649 0.996 0.291 Se
0.709 0.436 0.351 Se
0.996 0.649 0.564 Se
```

# 25
Zr3GaCo3: optimized geometry, PBE-GGA.

Summary:
Crystal system   orthorhombic
Formation energy   -428 meV per atom
Electronic total energy   -53.0 eV/f.u.

Cell and atoms, written as POSCAR:
```
Zr3GaCo3
1.0
1.996 -4.624 0.000
1.996 4.624 0.000
0.000 0.000 12.277
Zr Ga Co
6 2 6
Direct
0.012 0.988 0.750 Zr
0.297 0.703 0.605 Zr
0.297 0.703 0.895 Zr
0.703 0.297 0.105 Zr
0.703 0.297 0.395 Zr
0.988 0.012 0.250 Zr
0.000 0.000 0.000 Ga
0.000 0.000 0.500 Ga
0.261 0.739 0.250 Co
0.411 0.589 0.095 Co
0.411 0.589 0.405 Co
0.589 0.411 0.595 Co
0.589 0.411 0.905 Co
0.739 0.261 0.750 Co
```

Quick rundown of magnetization, same order as above: 0.000, 8.115, 0.000, 0.000, 0.000, 0.000, 0.000, 0.000, 0.000, 0.000, 0.000, 2.997, 0.000, 0.001, 0.000, 0.000, 0.000, 0.000, 2.499, 0.000, 0.000, 0.000, 0.000, 0.000, 0.000 μB per formula unit